## CsRb2MgH5 (PBE)

Data for crystalline CsRb2MgH5 at its relaxed geometry.

Structure (CIF):
```
data_CsRb2MgH5
_cell_length_a 7.9919
_cell_length_b 7.9919
_cell_length_c 12.5041
_cell_angle_alpha 90.00
_cell_angle_beta 90.00
_cell_angle_gamma 90.00
_symmetry_space_group_name_H-M 'I 4/m c m'
_symmetry_Int_Tables_number 140
_symmetry_space_group_name_Hall '-I 4 2c'
loop_
_atom_site_label
_atom_site_fract_x
_atom_site_fract_y
_atom_site_fract_z
Cs1 0.0000 0.0000 0.2500
Rb1 0.1810 0.3190 0.0000
Mg1 0.0000 0.5000 0.2500
H1 0.0000 0.0000 0.0000
H2 0.1287 0.3713 0.3427
```

Properties
E: -2.57 eV per atom


## CaCoBrN2 (PBE)

Data for crystalline CaCoBrN2 at its relaxed geometry.

Structure (CIF):
```
data_CaCoBrN2
_cell_length_a 4.3425
_cell_length_b 4.3425
_cell_length_c 5.1522
_cell_angle_alpha 90.00
_cell_angle_beta 90.00
_cell_angle_gamma 90.00
_symmetry_space_group_name_H-M 'P 4/m m m'
_symmetry_Int_Tables_number 123
_symmetry_space_group_name_Hall '-P 4 2'
loop_
_atom_site_label
_atom_site_fract_x
_atom_site_fract_y
_atom_site_fract_z
Ca1 0.0000 0.0000 0.0000
Co1 0.5000 0.5000 0.0000
Br1 0.0000 0.0000 0.5000
N1 0.0000 0.5000 0.5000
```

Properties
energy relative to the elements, uncorrected: 2048 meV per atom


## Tb3Pr4Er4 (PBE)

Data for crystalline Tb3Pr4Er4 at its relaxed geometry.

Structure (CIF):
```
data_Tb3Pr4Er4
_cell_length_a 3.6052
_cell_length_b 5.0673
_cell_length_c 20.0377
_cell_angle_alpha 97.25
_cell_angle_beta 95.06
_cell_angle_gamma 90.01
_symmetry_space_group_name_H-M 'P -1'
_symmetry_Int_Tables_number 2
loop_
_symmetry_equiv_pos_as_xyz
'x,y,z'
'-x,-y,-z'
loop_
_atom_site_label
_atom_site_fract_x
_atom_site_fract_y
_atom_site_fract_z
Tb1 0.0000 0.0000 0.0000
Tb2 0.3632 0.3643 0.7275
Pr1 0.1832 0.1825 0.3648
Pr2 0.4541 0.4550 0.9079
Er1 0.0909 0.0904 0.1837
Er2 0.2726 0.2720 0.5441
```

Properties
relative energy among the computed polymorphs: 0.00 eV per formula unit
formation energy from the elements: 1.7 kJ/mol of atoms


## CaU2O7 (PBE)

Data for crystalline CaU2O7 at its relaxed geometry.

Structure (CIF):
```
data_CaU2O7
_cell_length_a 3.8514
_cell_length_b 3.8514
_cell_length_c 30.4442
_cell_angle_alpha 90.00
_cell_angle_beta 90.00
_cell_angle_gamma 120.00
_symmetry_space_group_name_H-M 'R -3 m'
_symmetry_Int_Tables_number 166
_symmetry_space_group_name_Hall '-R 3 2"'
loop_
_atom_site_label
_atom_site_fract_x
_atom_site_fract_y
_atom_site_fract_z
Ca1 0.0000 0.0000 0.0000
U1 0.0000 0.0000 0.4320
O1 0.0000 0.0000 0.0809
O2 0.0000 0.0000 0.2203
O3 0.0000 0.0000 0.3663
O4 0.0000 0.0000 0.5000
```

Properties
energy relative to the elements, uncorrected: -3122 meV per atom


## Sm2HoRh (PBE)

Data for crystalline Sm2HoRh at its relaxed geometry.

Structure (CIF):
```
data_Sm2HoRh
_cell_length_a 7.2250
_cell_length_b 9.7900
_cell_length_c 6.3070
_cell_angle_alpha 90.00
_cell_angle_beta 90.00
_cell_angle_gamma 90.00
_symmetry_space_group_name_H-M 'P n m a'
_symmetry_Int_Tables_number 62
loop_
_symmetry_equiv_pos_as_xyz
'x,y,z'
'-x,-y,-z'
'-x+1/2,-y,z+1/2'
'x+1/2,y,-z+1/2'
'x+1/2,-y+1/2,-z+1/2'
'-x+1/2,y+1/2,z+1/2'
'-x,y+1/2,-z'
'x,-y+1/2,z'
loop_
_atom_site_label
_atom_site_fract_x
_atom_site_fract_y
_atom_site_fract_z
Sm1 0.1785 0.0647 0.1702
Ho1 0.0368 0.2500 0.6466
Rh1 0.1210 0.7500 0.9450
```

Properties
relative energy among the computed polymorphs: 0.00 eV per formula unit
formation energy from the elements: -46.4 kJ/mol of atoms


## Re2Rh2I (PBE)

Data for crystalline Re2Rh2I at its relaxed geometry.

Structure (CIF):
```
data_Re2Rh2I
_cell_length_a 4.6081
_cell_length_b 4.6081
_cell_length_c 9.1637
_cell_angle_alpha 90.00
_cell_angle_beta 90.00
_cell_angle_gamma 90.00
_symmetry_space_group_name_H-M 'I 4/m m m'
_symmetry_Int_Tables_number 139
_symmetry_space_group_name_Hall '-I 4 2'
loop_
_atom_site_label
_atom_site_fract_x
_atom_site_fract_y
_atom_site_fract_z
Re1 0.0000 0.0000 0.1270
Rh1 0.0000 0.5000 0.2500
I1 0.0000 0.0000 0.5000
```

Properties
relative energy among the computed polymorphs: 1.33 eV per formula unit
energy relative to the elements, uncorrected: 922 meV per atom


## Ba3Zn2Cd2Pd4 (PBE)

Data for crystalline Ba3Zn2Cd2Pd4 at its relaxed geometry.

Structure (CIF):
```
data_Ba3Zn2Cd2Pd4
_cell_length_a 4.5454
_cell_length_b 4.5454
_cell_length_c 16.7194
_cell_angle_alpha 90.00
_cell_angle_beta 90.00
_cell_angle_gamma 120.00
_symmetry_space_group_name_H-M 'P -3 m 1'
_symmetry_Int_Tables_number 164
_symmetry_space_group_name_Hall '-P 3 2"'
loop_
_atom_site_label
_atom_site_fract_x
_atom_site_fract_y
_atom_site_fract_z
Ba1 0.0000 0.0000 0.0000
Ba2 0.0000 0.0000 0.2757
Zn1 0.3333 0.6667 0.1383
Cd1 0.3333 0.6667 0.5575
Pd1 0.3333 0.6667 0.3898
Pd2 0.3333 0.6667 0.8652
```

Properties
formation energy from the elements: -41.1 kJ/mol of atoms


## ZrIn2NiPd (PBE)

Data for crystalline ZrIn2NiPd at its relaxed geometry.

Structure (CIF):
```
data_ZrIn2NiPd
_cell_length_a 4.7720
_cell_length_b 4.7720
_cell_length_c 4.7769
_cell_angle_alpha 90.00
_cell_angle_beta 90.00
_cell_angle_gamma 90.00
_symmetry_space_group_name_H-M 'P 4/m m m'
_symmetry_Int_Tables_number 123
_symmetry_space_group_name_Hall '-P 4 2'
loop_
_atom_site_label
_atom_site_fract_x
_atom_site_fract_y
_atom_site_fract_z
Zr1 0.0000 0.0000 0.0000
In1 0.0000 0.5000 0.5000
Ni1 0.0000 0.0000 0.5000
Pd1 0.5000 0.5000 0.0000
```

Properties
formation energy from the elements: 8.0 kJ/mol of atoms